Computed, not measured: a relaxed structure of Li4Co5O9F at the PBE+U level of DFT.

Geometry as POSCAR:
```
Li4Co5O9F
1.0
-1.726 -1.509 -1.700
2.967 -2.067 -3.512
2.332 -11.168 5.384
F Co O Li
1 5 9 4
direct
0.389 0.237 0.062
0.085 0.502 0.304
0.325 0.486 0.896
0.494 0.508 0.499
0.688 0.506 0.106
0.902 0.516 0.694
0.125 0.289 0.448
0.027 0.715 0.162
0.271 0.737 0.744
0.456 0.720 0.354
0.531 0.299 0.642
0.714 0.289 0.250
0.946 0.293 0.834
0.709 0.667 0.958
0.864 0.726 0.549
0.196 0.011 0.600
0.390 0.990 0.202
0.614 0.998 0.798
0.787 0.004 0.404
```

## Properties
Total magnetic moment ... 0.21 μB/atom
E_tot ... -5.6045 eV/atom